This record from the Alexandria database describes an optimized crystal structure of Si2IrRu. The functional is PBE.

Computed properties:
Total magnetic moment in μB/cell: 0.0
Formation energy from raw total energies in eV per formula unit: -1.8

```
Si2IrRu
1.0
3.741 0.000 0.000
1.871 3.240 0.000
1.871 1.080 4.864
Si Ru Ir
2 1 1
Cartesian
1.871 1.080 1.199
1.871 1.080 3.664
3.741 2.160 2.579
5.612 3.240 4.718
```